Material: ZrNb2Tc3
Method: DFT, GGA-PBE
State: relaxed

Lattice parameters (Å, degrees): 3.2209 3.2209 9.7124 90.00 90.00 90.00
Fractional coordinates of all 6 atoms:
Zr1 0.0000 0.0000 0.0000
Nb1 0.0000 0.0000 0.3348
Nb2 0.0000 0.0000 0.6652
Tc1 0.5000 0.5000 0.1764
Tc2 0.5000 0.5000 0.5000
Tc3 0.5000 0.5000 0.8236

Properties
**ΔE_f**: -370 meV per atom
**Density of states at the Fermi level**: 3.86 states/eV/cell
**Spin magnetization**: 0.00 μB per formula unit